(1)
First-principles (PBE) data for crystalline LaTl2Pb2 at its relaxed geometry, as listed in Alexandria.

DFT formation energy ... -142 meV/atom
Total moment ... 0.00 μB/f.u.
Energy relative to the lowest polymorph listed for this composition ... 0.1243 eV per atom
Space group ... P4/mbm
D(E_F) ... 2.0 states/eV/f.u.

a b c (Å): 8.8690 8.8690 3.9658
angles (deg): 90.00 90.00 90.00
Closest atoms and distances in Å follow each position.
Fractional positions:
Pb1 0.1683 0.6683 0.5000  6 Tl 3.24-3.31
Pb2 0.6683 0.8317 0.5000  6 Tl 3.24-3.31
Pb3 0.8317 0.3317 0.5000  6 Tl 3.24-3.31
Pb4 0.3317 0.1683 0.5000  6 Tl 3.24-3.31
Tl1 0.3721 0.8721 0.0000  1 Tl 3.21, 6 Pb 3.24-3.31, 2 La 3.49
Tl2 0.8721 0.6279 0.0000  1 Tl 3.21, 6 Pb 3.24-3.31, 2 La 3.49
Tl3 0.6279 0.1279 0.0000  1 Tl 3.21, 6 Pb 3.24-3.31, 2 La 3.49
Tl4 0.1279 0.3721 0.0000  1 Tl 3.21, 6 Pb 3.24-3.31, 2 La 3.49
La1 0.0000 0.0000 0.0000  4 Tl 3.49, 8 Pb 3.85
La2 0.5000 0.5000 0.0000  4 Tl 3.49, 8 Pb 3.85

---

(2)
First-principles (PBE) data for crystalline La2TlPb at its relaxed geometry, as listed in Alexandria.

DFT formation energy ... -87 meV/atom
Total moment ... 0.00 μB/f.u.
Space group ... R3m
D(E_F) ... 3.8 states/eV/f.u.

a b c (Å): 11.4869 11.4869 11.4869
angles (deg): 18.53 18.53 18.53
Closest atoms and distances in Å follow each position.
Fractional positions:
La1 0.0023 0.0023 0.0023  3 Tl 3.54, 9 La 3.64-3.70
La2 0.2484 0.2484 0.2484  3 Pb 3.58, 9 La 3.64-3.70
Pb1 0.4970 0.4970 0.4970  3 Tl 3.40, 3 La 3.58, 6 Pb 3.70
Tl1 0.7523 0.7523 0.7523  3 Pb 3.40, 3 La 3.54, 6 Tl 3.70